# KNa2S2

A relaxed structure of KNa2S2 (GGA-PBE, Alexandria via LeMat-Bulk).

Computed properties:
ΔE to the lowest computed polymorph ... 0.0 meV per atom
E_form (uncorrected) ... -0.81 eV per atom

abc: 8.4234 8.4234 3.2575
angles: 90.00 90.00 90.00
With the nearest neighbours (Å) after each atom.
Fractional coordinates of all 10 atoms:
Na: 0.1260 0.6260 0.5000  6 S 2.93-3.00, 3 Na 3.00-3.26
Na: 0.6260 0.8740 0.5000  6 S 2.93-3.00, 3 Na 3.00-3.26
Na: 0.8740 0.3740 0.5000  6 S 2.93-3.00, 3 Na 3.00-3.26
Na: 0.3740 0.1260 0.5000  6 S 2.93-3.00, 3 Na 3.00-3.26
K: 0.0000 0.0000 0.0000  4 S 3.13, 2 K 3.26
K: 0.5000 0.5000 0.0000  4 S 3.13, 2 K 3.26
S: 0.3304 0.8304 0.0000  6 Na 2.93-3.00, 2 K 3.13, 2 S 3.26
S: 0.8304 0.6696 0.0000  6 Na 2.93-3.00, 2 K 3.13, 2 S 3.26
S: 0.6696 0.1696 0.0000  6 Na 2.93-3.00, 2 K 3.13, 2 S 3.26
S: 0.1696 0.3304 0.0000  6 Na 2.93-3.00, 2 K 3.13, 2 S 3.26


# KNa3S

A relaxed structure of KNa3S (GGA-PBE, Alexandria via LeMat-Bulk).

Computed properties:
ΔE to the lowest computed polymorph ... 0.0 meV per atom
E_form (uncorrected) ... -0.46 eV per atom

abc: 5.6307 5.6307 5.6307
angles: 90.00 90.00 90.00
With the nearest neighbours (Å) after each atom.
Fractional coordinates of all 5 atoms:
Na: 0.0000 0.5000 0.0000  2 S 2.82
Na: 0.0000 0.0000 0.5000  2 S 2.82
Na: 0.5000 0.0000 0.0000  2 S 2.82
K: 0.5000 0.5000 0.5000  12 Na 3.98
S: 0.0000 0.0000 0.0000  6 Na 2.82


# KNa5S3

A relaxed structure of KNa5S3 (GGA-PBE, Alexandria via LeMat-Bulk).

Computed properties:
E_form (uncorrected) ... -1.02 eV per atom

abc: 4.5457 7.9936 12.7498
angles: 90.00 90.00 106.52
With the nearest neighbours (Å) after each atom.
Fractional coordinates of all 18 atoms:
K: 0.8631 0.7263 0.7500  5 S 3.37-3.40
K: 0.1369 0.2737 0.2500  5 S 3.37-3.40
Na: 0.8037 0.6074 0.4296  4 S 2.75-2.97
Na: 0.1963 0.3926 0.9296  4 S 2.75-2.97
Na: 0.0000 0.0000 0.5000  6 Na 2.96-3.14, 4 S 3.05
Na: 0.0000 0.0000 0.0000  6 Na 2.96-3.14, 4 S 3.05
Na: 0.4553 0.9106 0.1385  4 S 2.73-2.82, 3 Na 2.84-2.96
Na: 0.5447 0.0894 0.8615  4 S 2.73-2.82, 3 Na 2.84-2.96
Na: 0.5447 0.0894 0.6385  4 S 2.73-2.82, 3 Na 2.84-2.96
Na: 0.8037 0.6074 0.0704  4 S 2.75-2.97
Na: 0.1963 0.3926 0.5704  4 S 2.75-2.97
Na: 0.4553 0.9106 0.3615  4 S 2.73-2.82, 3 Na 2.84-2.96
S: 0.3750 0.7500 0.9474  7 Na 2.73-3.05
S: 0.9173 0.8346 0.2500  6 Na 2.74-2.88
S: 0.3750 0.7500 0.5526  7 Na 2.73-3.05
S: 0.6250 0.2500 0.4474  7 Na 2.73-3.05
S: 0.0827 0.1654 0.7500  6 Na 2.74-2.88
S: 0.6250 0.2500 0.0526  7 Na 2.73-3.05


Copy entry 1 word for word.
# KNa2S2

A relaxed structure of KNa2S2 (GGA-PBE, Alexandria via LeMat-Bulk).

Computed properties:
ΔE to the lowest computed polymorph ... 0.0 meV per atom
E_form (uncorrected) ... -0.81 eV per atom

abc: 8.4234 8.4234 3.2575
angles: 90.00 90.00 90.00
With the nearest neighbours (Å) after each atom.
Fractional coordinates of all 10 atoms:
Na: 0.1260 0.6260 0.5000  6 S 2.93-3.00, 3 Na 3.00-3.26
Na: 0.6260 0.8740 0.5000  6 S 2.93-3.00, 3 Na 3.00-3.26
Na: 0.8740 0.3740 0.5000  6 S 2.93-3.00, 3 Na 3.00-3.26
Na: 0.3740 0.1260 0.5000  6 S 2.93-3.00, 3 Na 3.00-3.26
K: 0.0000 0.0000 0.0000  4 S 3.13, 2 K 3.26
K: 0.5000 0.5000 0.0000  4 S 3.13, 2 K 3.26
S: 0.3304 0.8304 0.0000  6 Na 2.93-3.00, 2 K 3.13, 2 S 3.26
S: 0.8304 0.6696 0.0000  6 Na 2.93-3.00, 2 K 3.13, 2 S 3.26
S: 0.6696 0.1696 0.0000  6 Na 2.93-3.00, 2 K 3.13, 2 S 3.26
S: 0.1696 0.3304 0.0000  6 Na 2.93-3.00, 2 K 3.13, 2 S 3.26